Version w
A geometry-optimized LaTl2Pd2 structure, computed with GGA-PBE.

a b c (Å): 5.049 5.049 9.778
angles (deg): 90.00 90.00 90.00
Space group I4/mmm (No. 139)
Asymmetric unit:
La: 0.000 0.000 0.000
Tl: 0.000 0.000 0.354
Pd: 0.000 0.500 0.250

Calculated values
Mass density ... 10.13 g cm⁻³
Calculated volume ... 249.3 Å³/cell
Magnetic moment ... 0.0 Bohr magnetons per cell

=====

Version x
A geometry-optimized LaTl2Pd2 structure, computed with GGA-PBE.

a b c (Å): 8.329 8.329 3.314
angles (deg): 90.00 90.00 90.00
Space group P4/mbm (No. 127)
Asymmetric unit:
La: 0.000 0.000 0.000
Tl: 0.126 0.374 0.000
Pd: 0.175 0.675 0.500

Calculated values
Mass density ... 10.99 g cm⁻³
Calculated volume ... 229.9 Å³/cell
Magnetic moment ... 0.9 Bohr magnetons per cell

=====

Most stable to least stable, the ends of the list are version w and version x.

=====

Version w
A geometry-optimized LaTl2Pd2 structure, computed with GGA-PBE.

a b c (Å): 5.0663 5.0663 15.5101
angles (deg): 90.00 90.00 120.00
Space group R-3m (No. 166, hexagonal axes)
Asymmetric unit:
La: 0.0000 0.0000 0.0000
Tl: 0.0000 0.0000 0.2232
Pd: 0.0000 0.0000 0.4135

Calculated values
Mass density ... 10.99 g cm⁻³
Calculated volume ... 344.8 Å³/cell
Magnetic moment ... 0.0 Bohr magnetons per cell

=====

Version x
A geometry-optimized LaTl2Pd2 structure, computed with GGA-PBE.

a b c (Å): 4.381 4.381 12.683
angles (deg): 90.00 90.00 90.00
Space group I4/mmm (No. 139)
Asymmetric unit:
La: 0.000 0.000 0.000
Tl: 0.000 0.500 0.250
Pd: 0.000 0.000 0.397

Calculated values
Mass density ... 10.37 g cm⁻³
Calculated volume ... 243.4 Å³/cell
Magnetic moment ... 0.0 Bohr magnetons per cell

=====

Most stable to least stable, the ends of the list are version w and version x.